(1)
Material: Fe6OF11
Method: DFT, PBEsol
State: relaxed

## Properties
Excess energy over the best structure of this formula in the dataset (kJ/mol of formula units): 95
Raw formation energy (meV per atom): -1741

Lattice parameters (Å, degrees): 5.6381 5.6381 7.3540 70.56 70.56 74.54
Positions (direct):
Fe 0.0045 0.0045 0.4885
Fe 0.3323 0.3323 0.1779
F 0.5789 0.5789 0.6547
F 0.0241 0.6373 0.6817
F 0.7135 0.3167 0.9890
Fe 0.6332 0.6332 0.3545
F 0.6373 0.0241 0.6817
F 0.1002 0.1002 0.6937
F 0.8870 0.8870 0.3027
Fe 0.6733 0.6733 0.8402
Fe 0.3509 0.3509 0.6470
F 0.7671 0.7671 0.0297
F 0.3688 0.9483 0.3222
F 0.3167 0.7135 0.9890
Fe 0.0036 0.0036 0.9974
F 0.9483 0.3688 0.3222
O 0.4164 0.4164 0.3681
F 0.2439 0.2439 0.9598

=====

(2)
Material: Fe4OF7
Method: DFT, PBEsol
State: relaxed

## Properties
Excess energy over the best structure of this formula in the dataset (kJ/mol of formula units): 1
Raw formation energy (meV per atom): -1793

Lattice parameters (Å, degrees): 4.8447 5.7004 10.0742 92.66 90.00 90.00
Positions (direct):
Fe 0.2290 0.7329 0.7668
F 0.0371 0.2912 0.4252
F 0.5351 0.9624 0.8199
F 0.9457 0.0264 0.1785
F 0.0466 0.5140 0.1739
F 0.5533 0.7303 0.0828
Fe 0.2458 0.2314 0.2503
F 0.4649 0.9624 0.3199
Fe 0.2501 0.5350 0.9913
F 0.4467 0.7303 0.5828
O 0.0358 0.7899 0.9299
Fe 0.7499 0.5350 0.4913
F 0.4706 0.4555 0.8210
F 0.4526 0.2297 0.0696
Fe 0.7710 0.7329 0.2668
Fe 0.7626 0.0015 0.9909
F 0.0543 0.0264 0.6785
F 0.9629 0.2912 0.9252
O 0.9642 0.7899 0.4299
F 0.5294 0.4555 0.3210
Fe 0.7542 0.2314 0.7503
F 0.9534 0.5140 0.6739
Fe 0.2374 0.0015 0.4909
F 0.5474 0.2297 0.5696

=====

(3)
Material: Fe4OF7
Method: DFT, PBEsol
State: relaxed

## Properties
Excess energy over the best structure of this formula in the dataset (kJ/mol of formula units): 160
Raw formation energy (meV per atom): -1655

Lattice parameters (Å, degrees): 7.5871 5.7847 7.7328 90.00 119.38 90.00
Positions (direct):
F 0.1349 0.9189 0.9033
F 0.6768 0.4282 0.3536
Fe 0.5896 0.1546 0.1792
Fe 0.1909 0.2303 0.8642
Fe 0.1903 0.0799 0.3806
O 0.4619 0.3221 0.9238
F 0.2316 0.4189 0.0967
Fe 0.3268 0.7303 0.1358
F 0.8931 0.0372 0.2974
F 0.1069 0.5372 0.7026
F 0.7584 0.8652 0.5168
F 0.3232 0.9282 0.6464
Fe 0.4104 0.6546 0.8208
F 0.8651 0.4189 0.0967
F 0.1186 0.7771 0.2372
Fe 0.6732 0.2303 0.8642
F 0.4044 0.0372 0.2974
Fe 0.8097 0.5799 0.6194
F 0.8814 0.2771 0.7628
F 0.5956 0.5372 0.7026
F 0.2416 0.3652 0.4832
Fe 0.8091 0.7303 0.1358
O 0.5381 0.8221 0.0762
F 0.7684 0.9189 0.9033

=====

(4)
Material: FeOF
Method: DFT, PBEsol
State: relaxed

## Properties
Raw formation energy (meV per atom): -1545

Lattice parameters (Å, degrees): 5.7348 7.1147 7.1147 80.65 66.23 66.23
Positions (direct):
F 0.7751 0.4465 0.7496
F 0.7784 0.2504 0.4465
F 0.9716 0.2496 0.0535
Fe 0.0994 0.7388 0.7522
O 0.2746 0.2496 0.4589
O 0.4754 0.2504 0.0411
F 0.7788 0.9465 0.2496
F 0.2747 0.7504 0.9465
F 0.9712 0.5535 0.2504
Fe 0.6017 0.7478 0.2388
Fe 0.6506 0.7612 0.7478
O 0.4758 0.5411 0.2496
Fe 0.5904 0.2612 0.2478
O 0.4835 0.0411 0.7496
Fe 0.5882 0.2522 0.7612
F 0.4753 0.7496 0.5535
O 0.9831 0.7504 0.5411
Fe 0.1596 0.2388 0.2522
F 0.9749 0.0535 0.7504
O 0.2742 0.9589 0.2504
Fe 0.1618 0.2478 0.7388
O 0.2665 0.4589 0.7504
Fe 0.1483 0.7522 0.2612
O 0.7669 0.7496 0.9589

=====

(5)
Material: FeOF
Method: DFT, PBEsol
State: relaxed

## Properties
Raw formation energy (meV per atom): -1557

Lattice parameters (Å, degrees): 2.8388 4.5092 4.3362 90.00 90.00 90.00
Positions (direct):
F 0.0000 0.0690 0.2804
F 0.5000 0.9310 0.7804
Fe 0.5000 0.2902 0.5031
O 0.0000 0.4293 0.7165
Fe 0.0000 0.7098 0.0031
O 0.5000 0.5707 0.2165

=====

(6)
Material: FeOF3
Method: DFT, PBEsol
State: relaxed

## Properties
Raw formation energy (meV per atom): -953

Lattice parameters (Å, degrees): 3.8866 3.8866 3.8866 90.00 90.00 90.00
Positions (direct):
F 0.5000 0.0000 0.0000
F 0.0000 0.5000 0.0000
O 0.5000 0.5000 0.5000
F 0.0000 0.0000 0.5000
Fe 0.0000 0.0000 0.0000

=====

(7)
Material: FeOF
Method: DFT, PBEsol
State: relaxed

## Properties
Raw formation energy (meV per atom): -1562

Lattice parameters (Å, degrees): 2.8343 6.2612 6.2612 90.00 90.00 90.00
Positions (direct):
O 0.0000 0.5493 0.2533
O 0.0000 0.4507 0.7467
O 0.5000 0.2533 0.4507
Fe 0.5000 0.2732 0.7327
O 0.5000 0.7467 0.5493
Fe 0.0000 0.2673 0.2732
F 0.0000 0.0504 0.7510
Fe 0.5000 0.7268 0.2673
F 0.0000 0.9496 0.2490
F 0.5000 0.2490 0.0504
Fe 0.0000 0.7327 0.7268
F 0.5000 0.7510 0.9496

=====

(8)
Material: Fe4O5F3
Method: DFT, PBEsol
State: relaxed

## Properties
Excess energy over the best structure of this formula in the dataset (kJ/mol of formula units): 11
Raw formation energy (meV per atom): -1500

Lattice parameters (Å, degrees): 4.5684 5.3884 5.3884 116.69 96.95 83.05
Positions (direct):
Fe 0.4598 0.9827 0.0173
O 0.6971 0.1458 0.3412
O 0.2989 0.3468 0.1545
O 0.2989 0.8455 0.6532
Fe 0.0106 0.5214 0.0095
F 0.8297 0.1684 0.8316
Fe 0.0106 0.9905 0.4786
F 0.7726 0.6375 0.3625
O 0.1962 0.8415 0.1585
F 0.2262 0.3612 0.6388
O 0.6971 0.6588 0.8542
Fe 0.5022 0.4998 0.5002

=====

(9)
Material: FeOF
Method: DFT, PBEsol
State: relaxed

## Properties
Raw formation energy (meV per atom): -1528

Lattice parameters (Å, degrees): 4.5639 4.5639 5.8072 90.00 90.00 90.00
Positions (direct):
F 0.2733 0.2733 0.5000
O 0.6873 0.6873 0.5000
F 0.7733 0.2267 0.2500
O 0.1873 0.8127 0.2500
Fe 0.4697 0.5303 0.2500
O 0.8127 0.1873 0.7500
Fe 0.9697 0.9697 0.5000
Fe 0.5303 0.4697 0.7500
O 0.3127 0.3127 0.0000
F 0.2267 0.7733 0.7500
F 0.7267 0.7267 0.0000
Fe 0.0303 0.0303 0.0000

=====

(10)
Material: Fe4O3F5
Method: DFT, PBEsol
State: relaxed

## Properties
Excess energy over the best structure of this formula in the dataset (kJ/mol of formula units): 68
Raw formation energy (meV per atom): -1570

Lattice parameters (Å, degrees): 4.7749 5.4526 5.4526 117.87 95.73 84.27
Positions (direct):
F 0.6801 0.1441 0.8559
Fe 0.4944 0.9891 0.4812
O 0.3128 0.8594 0.1406
O 0.3044 0.3478 0.6522
F 0.8147 0.6339 0.8379
O 0.7032 0.6460 0.3540
F 0.1844 0.8376 0.6333
F 0.1844 0.3667 0.1624
Fe 0.4944 0.5188 0.0109
Fe 0.0099 0.9960 0.0040
F 0.8147 0.1621 0.3661
Fe 0.0027 0.4985 0.5015

=====

(11)
Material: FePO2F
Method: DFT, PBEsol
State: relaxed

## Properties
Raw formation energy (meV per atom): -469

Lattice parameters (Å, degrees): 3.8121 3.7163 3.7163 90.00 90.00 90.00
Positions (direct):
Fe 0.0000 0.0000 0.0000
O 0.0000 0.5000 0.0000
P 0.5000 0.5000 0.5000
F 0.5000 0.0000 0.0000
O 0.0000 0.0000 0.5000

=====

(12)
Material: Fe2SbOF
Method: DFT, PBEsol
State: relaxed

## Properties
Raw formation energy (meV per atom): -507

Lattice parameters (Å, degrees): 3.6324 3.6324 4.9402 90.00 90.00 90.00
Positions (direct):
O 0.0000 0.0000 0.0000
Sb 0.5000 0.5000 0.5000
Fe 0.5000 0.0000 0.0000
F 0.0000 0.0000 0.5000
Fe 0.0000 0.5000 0.0000

=====

(13)
Material: Sr2Fe2Se2OF2
Method: DFT, PBEsol
State: relaxed

## Properties
Raw formation energy (meV per atom): -1992

Lattice parameters (Å, degrees): 4.0161 4.0161 9.7023 101.94 101.94 90.00
Positions (direct):
Sr 0.3266 0.3266 0.6532
F 0.7500 0.2500 0.5000
Fe 0.0000 0.5000 0.0000
Se 0.9052 0.9052 0.8103
Sr 0.6734 0.6734 0.3468
Se 0.0948 0.0948 0.1897
F 0.2500 0.7500 0.5000
O 0.5000 0.5000 0.0000
Fe 0.5000 0.0000 0.0000

=====

(14)
Material: Fe2PF
Method: DFT, PBEsol
State: relaxed

## Properties
Raw formation energy (meV per atom): -410

Lattice parameters (Å, degrees): 3.8660 3.8660 3.8660 60.00 60.00 60.00
Positions (direct):
Fe 0.7500 0.7500 0.7500
Fe 0.2500 0.2500 0.2500
F 0.0000 0.0000 0.0000
P 0.5000 0.5000 0.5000

=====

(15)
Material: FePS2F
Method: DFT, PBEsol
State: relaxed

## Properties
Raw formation energy (meV per atom): 813

Lattice parameters (Å, degrees): 3.6261 4.7100 4.7100 90.00 90.00 90.00
Positions (direct):
F 0.0000 0.0000 0.0000
S 0.0000 0.5000 0.0000
S 0.0000 0.0000 0.5000
Fe 0.5000 0.5000 0.5000
P 0.5000 0.0000 0.0000

=====

(16)
Material: FePbF3
Method: DFT, PBEsol
State: relaxed

## Properties
Raw formation energy (meV per atom): -902

Lattice parameters (Å, degrees): 4.6786 4.6786 4.6786 90.00 90.00 90.00
Positions (direct):
F 0.0000 0.0000 0.5000
F 0.0000 0.5000 0.0000
Pb 0.0000 0.0000 0.0000
F 0.5000 0.0000 0.0000
Fe 0.5000 0.5000 0.5000

=====

(17)
Material: Fe3PbF
Method: DFT, PBEsol
State: relaxed

## Properties
Raw formation energy (meV per atom): 332

Lattice parameters (Å, degrees): 4.1413 4.1413 4.1413 90.00 90.00 90.00
Positions (direct):
Fe 0.5000 0.0000 0.0000
F 0.0000 0.0000 0.0000
Fe 0.0000 0.0000 0.5000
Pb 0.5000 0.5000 0.5000
Fe 0.0000 0.5000 0.0000

=====

(18)
Material: ScFe2PbF
Method: DFT, PBEsol
State: relaxed

## Properties
Raw formation energy (meV per atom): 46

Lattice parameters (Å, degrees): 3.9023 4.8198 4.8198 90.00 90.00 90.00
Positions (direct):
F 0.5000 0.0000 0.0000
Pb 0.5000 0.5000 0.5000
Sc 0.0000 0.0000 0.0000
Fe 0.0000 0.0000 0.5000
Fe 0.0000 0.5000 0.0000

=====

(19)
Material: FePt3F
Method: DFT, PBEsol
State: relaxed

## Properties
Raw formation energy (meV per atom): 981

Lattice parameters (Å, degrees): 4.2617 4.2617 4.2617 90.00 90.00 90.00
Positions (direct):
F 0.0000 0.0000 0.0000
Pt 0.0000 0.0000 0.5000
Pt 0.5000 0.0000 0.0000
Fe 0.5000 0.5000 0.5000
Pt 0.0000 0.5000 0.0000

=====

(20)
Material: FeTc2PtF
Method: DFT, PBEsol
State: relaxed

## Properties
Raw formation energy (meV per atom): 1322

Lattice parameters (Å, degrees): 4.5193 4.3346 4.3346 90.00 90.00 90.00
Positions (direct):
Pt 0.5000 0.0000 0.0000
F 0.5000 0.5000 0.5000
Tc 0.0000 0.0000 0.5000
Fe 0.0000 0.0000 0.0000
Tc 0.0000 0.5000 0.0000

=====

(21)
Material: RbFe2F6
Method: DFT, PBEsol
State: relaxed

## Properties
Raw formation energy (meV per atom): -2279

Lattice parameters (Å, degrees): 7.0166 7.3915 10.0286 90.00 90.00 90.00
Positions (direct):
F 0.4283 0.2500 0.4503
F 0.2481 0.4268 0.9222
Fe 0.6951 0.7500 0.2264
F 0.8742 0.0225 0.8241
F 0.2481 0.0732 0.9222
F 0.2519 0.5732 0.4222
Fe 0.8049 0.2500 0.7264
F 0.4259 0.7500 0.1630
Rb 0.5049 0.2500 0.1243
F 0.3742 0.0225 0.6759
F 0.6258 0.5225 0.3241
Fe 0.3049 0.2500 0.7736
Fe 0.5000 0.0000 0.5000
Fe 0.5000 0.5000 0.5000
F 0.5717 0.7500 0.5497
F 0.9259 0.7500 0.3370
F 0.2519 0.9268 0.4222
Fe 0.1951 0.7500 0.2736
F 0.7481 0.0732 0.5778
F 0.7519 0.5732 0.0778
F 0.9283 0.2500 0.0497
F 0.0741 0.2500 0.6630
F 0.8742 0.4775 0.8241
F 0.1258 0.5225 0.1759
F 0.7519 0.9268 0.0778
F 0.7481 0.4268 0.5778
F 0.6258 0.9775 0.3241
F 0.0717 0.7500 0.9503
F 0.1258 0.9775 0.1759
F 0.3742 0.4775 0.6759
Rb 0.4951 0.7500 0.8757
Rb 0.9951 0.7500 0.6243
Rb 0.0049 0.2500 0.3757
Fe 0.0000 0.0000 0.0000
Fe 0.0000 0.5000 0.0000
F 0.5741 0.2500 0.8370

=====

| no. | N(E_F) (states/eV/atom) |
| --- | --- |
| 1 | 0.7020 |
| 2 | 0.4625 |
| 3 | 0.6185 |
| 4 | 0.7078 |
| 5 | 0.7470 |
| 6 | 1.0872 |
| 7 | 0.5283 |
| 8 | 0.6606 |
| 9 | 0.9731 |
| 10 | 0.7020 |
| 11 | 0.8520 |
| 12 | 0.8805 |
| 13 | 0.5649 |
| 14 | 1.1182 |
| 15 | 0.7497 |
| 16 | 1.9247 |
| 17 | 0.5612 |
| 18 | 1.2533 |
| 19 | 1.3041 |
| 20 | 0.6826 |
| 21 | 0.8093 |